{
  "formula": "Cs2BaSnF6",
  "functional": "PBE",
  "state": "optimized geometry",
  "lattice_angstrom": [[-1.9006, 4.7357, 4.8223], [-6.7395, -1.7065, -0.9804], [-3.9589, -1.9467, 5.4625]],
  "species": ["F", "F", "F", "F", "F", "F", "Cs", "Cs", "Sn", "Ba"],
  "frac_coords": [[0.2587, 0.2587, 0.4826], [0.2587, 0.7413, 0.0000], [0.7413, 0.7413, 0.0000], [0.2587, 0.2587, 0.0000], [0.7413, 0.7413, 0.5174], [0.7413, 0.2587, 0.0000], [0.7500, 0.2500, 0.5000], [0.2500, 0.7500, 0.5000], [0.5000, 0.5000, 0.0000], [0.0000, 0.0000, 0.0000]],
  "formation_energy_uncorrected_mev_per_atom": -2894,
  "density_g_cm3": 4.3,
  "space_group": "Fm-3m (225)",
  "volume_a3_per_cell": 245,
  "dos_at_fermi_per_ev_cell": 0.00
}



{
  "formula": "Cs2BaTaF6",
  "functional": "PBE",
  "state": "optimized geometry",
  "lattice_angstrom": [[-3.8980, 4.5938, -3.0891], [-2.0287, -4.7007, -4.4304], [-6.6055, -1.2026, -0.8728]],
  "species": ["F", "F", "F", "F", "F", "F", "Ta", "Cs", "Cs", "Ba"],
  "frac_coords": [[0.2302, 0.2302, 0.5396], [0.7698, 0.7698, 0.0000], [0.7698, 0.7698, 0.4604], [0.2302, 0.2302, 0.0000], [0.7698, 0.2302, 0.0000], [0.2302, 0.7698, 0.0000], [0.0000, 0.0000, 0.0000], [0.7500, 0.2500, 0.5000], [0.2500, 0.7500, 0.5000], [0.5000, 0.5000, 0.0000]],
  "formation_energy_uncorrected_mev_per_atom": -2655,
  "density_g_cm3": 5.3,
  "space_group": "Fm-3m (225)",
  "volume_a3_per_cell": 219,
  "dos_at_fermi_per_ev_cell": 7.83
}



{
  "formula": "CsBaTbF6",
  "functional": "PBE",
  "state": "optimized geometry",
  "lattice_angstrom": [[8.5751, 0.0000, 0.0000], [0.0000, 8.3482, 0.0000], [-4.2875, -4.1741, 5.7602]],
  "species": ["F", "F", "F", "F", "F", "F", "F", "F", "F", "F", "F", "F", "Tb", "Tb", "Cs", "Cs", "Ba", "Ba"],
  "frac_coords": [[0.4305, 0.1805, 0.8610], [0.4534, 0.1613, 0.2650], [0.8116, 0.6037, 0.2650], [0.5695, 0.8195, 0.1390], [0.1884, 0.8387, 0.7350], [0.1292, 0.8792, 0.2584], [0.8708, 0.1208, 0.7416], [0.8116, 0.1613, 0.2650], [0.4534, 0.6037, 0.2650], [0.1884, 0.3963, 0.7350], [0.5466, 0.3963, 0.7350], [0.5466, 0.8387, 0.7350], [0.5000, 0.5000, 0.0000], [0.5000, 0.0000, 0.0000], [0.1464, 0.3964, 0.2929], [0.8536, 0.6036, 0.7071], [0.0000, 0.0000, 0.5000], [0.5000, 0.0000, 0.5000]],
  "formation_energy_uncorrected_mev_per_atom": -3702,
  "density_g_cm3": 4.4,
  "space_group": "Imma (74)",
  "volume_a3_per_cell": 412,
  "dos_at_fermi_per_ev_cell": 0.00
}



{
  "formula": "Cs2BaTbF6",
  "functional": "PBE",
  "state": "optimized geometry",
  "lattice_angstrom": [[7.0118, 0.0014, -0.0023], [0.0016, 7.0101, -0.0031], [3.5053, 3.5037, 4.9510]],
  "species": ["F", "F", "F", "F", "F", "F", "Ba", "Cs", "Cs", "Tb"],
  "frac_coords": [[0.7268, 0.7268, 0.5465], [0.7263, 0.7265, 0.9999], [0.2737, 0.2735, 0.0001], [0.2732, 0.2732, 0.4535], [0.7264, 0.2733, 0.0000], [0.2736, 0.7267, 0.0000], [0.0000, 0.0000, 0.0000], [0.7497, 0.2497, 0.5001], [0.2503, 0.7503, 0.4999], [0.5000, 0.5000, 0.0000]],
  "formation_energy_uncorrected_mev_per_atom": -3253,
  "density_g_cm3": 4.6,
  "space_group": "P-1 (2)",
  "volume_a3_per_cell": 243,
  "dos_at_fermi_per_ev_cell": 1.96
}